# 1
Below is a relaxed PuCd6 crystal, with properties calculated at the GGA-PBE level.

Structure (POSCAR):
```
PuCd6
1.0
-3.8951 3.8951 3.8951
3.8951 -3.8951 3.8951
3.8951 3.8951 -3.8951
Pu Cd
1 6
Direct
0.0000 0.0000 0.0000 Pu
0.2500 0.5000 0.7500 Cd
0.2500 0.7500 0.5000 Cd
0.5000 0.2500 0.7500 Cd
0.5000 0.7500 0.2500 Cd
0.7500 0.2500 0.5000 Cd
0.7500 0.5000 0.2500 Cd
```

Values from the calculation:
- Space-group type: Im-3m (229)
- VASP energy: -16.52 eV/cell
- Total magnetization: 0.926 μB per atom
- DOS at the Fermi energy: 25.43 states/eV/cell


# 2
Below is a relaxed PuCd4 crystal, with properties calculated at the GGA-PBE level.

Structure (POSCAR):
```
PuCd4
1.0
-1.4930 2.2452 8.7881
1.4930 -2.2452 8.7881
1.4930 2.2452 -8.7881
Pu Cd
1 4
Direct
0.0000 0.0000 0.0000 Pu
0.2003 0.2003 0.0000 Cd
0.3892 0.3892 0.0000 Cd
0.6108 0.6108 0.0000 Cd
0.7997 0.7997 0.0000 Cd
```

Values from the calculation:
- Energy relative to the lowest polymorph listed for this composition: 0.00 eV per formula unit
- Space-group type: Immm (71)
- VASP energy: -18.16 eV/cell
- Total magnetization: 1.228 μB per atom
- DOS at the Fermi energy: 9.16 states/eV/cell


# 3
Below is a relaxed PuCd4 crystal, with properties calculated at the GGA-PBE level.

Structure (POSCAR):
```
PuCd4
1.0
6.1613 0.0000 0.0000
0.0000 6.1613 0.0000
0.0000 0.0000 6.1613
Pu Cd
1 4
Direct
0.0000 0.0000 0.0000 Pu
0.0000 0.0000 0.5000 Cd
0.0000 0.5000 0.0000 Cd
0.5000 0.0000 0.0000 Cd
0.5000 0.5000 0.5000 Cd
```

Values from the calculation:
- Energy relative to the lowest polymorph listed for this composition: 4.29 eV per formula unit
- Space-group type: Pm-3m (221)
- VASP energy: -13.86 eV/cell
- Total magnetization: 1.354 μB per atom
- DOS at the Fermi energy: 18.74 states/eV/cell


# 4
Below is a relaxed PuCd11 crystal, with properties calculated at the GGA-PBE level.

Structure (POSCAR):
```
PuCd11
1.0
-5.9962 5.9962 3.8880
5.9962 -5.9962 3.8880
5.9962 5.9962 -3.8880
Pu Cd
2 22
Direct
0.3750 0.6250 0.7500 Pu
0.6250 0.3750 0.2500 Pu
0.0000 0.0000 0.0000 Cd
0.0000 0.0000 0.5000 Cd
0.0000 0.5000 0.0000 Cd
0.1219 0.5500 0.3317 Cd
0.1219 0.7902 0.5719 Cd
0.1250 0.8750 0.2500 Cd
0.2098 0.2817 0.3317 Cd
0.2098 0.8781 0.9281 Cd
0.2817 0.2098 0.8317 Cd
0.2817 0.4500 0.0719 Cd
0.4500 0.2817 0.5719 Cd
0.4500 0.8781 0.1683 Cd
0.5000 0.0000 0.5000 Cd
0.5500 0.1219 0.8317 Cd
0.5500 0.7183 0.4281 Cd
0.7183 0.5500 0.9281 Cd
0.7183 0.7902 0.1683 Cd
0.7902 0.1219 0.0719 Cd
0.7902 0.7183 0.6683 Cd
0.8750 0.1250 0.7500 Cd
0.8781 0.2098 0.4281 Cd
0.8781 0.4500 0.6683 Cd
```

Values from the calculation:
- Space-group type: I4_1/amd (141)
- VASP energy: -49.09 eV/cell
- Total magnetization: 0.511 μB per atom
- DOS at the Fermi energy: 39.11 states/eV/cell